1.
Material: TbPm2Tl3Se6
Method: DFT, GGA-PBE
State: relaxed

## Properties
- total moment (μB per cell) = 0.000
- formation energy from raw total energies (eV/atom) = -1.386
- calculated total energy (eV per cell) = -117.5
- V (Å³/atom) = 30.6

a b c (Å): 7.387 12.794 8.146
angles (deg): 90.00 107.59 90.00
Space group C2/m (No. 12)
Asymmetric unit:
Tb 0.000 0.000 0.000 (multiplicity 2)
Pm 0.000 0.333 0.000 (multiplicity 4)
Tl 0.000 0.168 0.500 (multiplicity 4)
Tl 0.000 0.500 0.500 (multiplicity 2)
Se 0.233 0.164 0.208 (multiplicity 8)
Se 0.242 0.500 0.209 (multiplicity 4)

2.
Material: Ag4PtAu6
Method: DFT, GGA-PBE
State: relaxed

## Properties
- total moment (μB per cell) = 0.000
- DFT formation energy (eV/atom) = 0.419
- energy above the lowest structure with this stoichiometry (meV per atom) = 339
- Fermi-level density of states (states/eV per atom) = 0.362
- calculated total energy (eV per cell) = -65.0
- V (Å³/atom) = 22.0

a b c (Å): 7.262 7.262 9.175
angles (deg): 90.00 90.00 90.00
Space group I-42m (No. 121)
Asymmetric unit:
Ag 0.187 0.187 0.445 (multiplicity 8)
Pt 0.000 0.000 0.000 (multiplicity 2)
Au 0.000 0.500 0.000 (multiplicity 4)
Au 0.132 0.132 0.738 (multiplicity 8)

3.
Material: BaSi2Os
Method: DFT, GGA-PBE
State: relaxed

## Properties
- total moment (μB per cell) = 0.000
- Fermi-level density of states (states/eV per atom) = 0.698
- formation energy from raw total energies (eV/atom) = 0.121
- calculated total energy (eV per cell) = -23.5
- V (Å³/atom) = 21.9

a b c (Å): 3.225 4.189 6.539
angles (deg): 90.00 97.56 90.00
Space group P2/m (No. 10)
Asymmetric unit:
Ba 0.000 0.000 0.000 (multiplicity 1)
Si 0.375 0.500 0.666 (multiplicity 2)
Os 0.500 0.000 0.500 (multiplicity 1)

4.
Material: CaAgC3
Method: DFT, GGA-PBE
State: relaxed

## Properties
- total moment (μB per cell) = 0.000
- DFT formation energy (eV/atom) = 2.452
- energy above the lowest structure with this stoichiometry (meV per atom) = 0
- Fermi-level density of states (states/eV per atom) = 0.840
- calculated total energy (eV per cell) = -20.3
- V (Å³/atom) = 15.2

a b c (Å): 4.235 4.235 4.235
angles (deg): 90.00 90.00 90.00
Space group Pm-3m (No. 221)
Asymmetric unit:
Ca 0.000 0.000 0.000 (multiplicity 1)
Ag 0.500 0.500 0.500 (multiplicity 1)
C 0.000 0.500 0.500 (multiplicity 3)

5.
Material: SiBi3Pd12
Method: DFT, GGA-PBE
State: relaxed

## Properties
- total moment (μB per cell) = 0.000
- Fermi-level density of states (states/eV per atom) = 0.527
- formation energy from raw total energies (eV/atom) = -0.267
- calculated total energy (eV per cell) = -83.7
- V (Å³/atom) = 17.0

a b c (Å): 4.108 4.108 16.097
angles (deg): 90.00 90.00 90.00
Space group P4/mmm (No. 123)
Asymmetric unit:
Si 0.000 0.000 0.000 (multiplicity 1)
Bi 0.000 0.000 0.240 (multiplicity 2)
Bi 0.000 0.000 0.500 (multiplicity 1)
Pd 0.000 0.500 0.107 (multiplicity 4)
Pd 0.000 0.500 0.371 (multiplicity 4)
Pd 0.500 0.500 0.000 (multiplicity 1)
Pd 0.500 0.500 0.240 (multiplicity 2)
Pd 0.500 0.500 0.500 (multiplicity 1)